GGA-PBE Zr2CdOs, optimized geometry; energy = -29.38 eV per formula unit; formation energy = -0.035 eV/atom; density = 9.7 g cm⁻³; space-group type = R-3m, No. 166
1.0
3.260 0.000 0.000
-1.630 2.823 0.000
0.000 0.000 27.177
Zr Cd Os
6 3 3
direct
0.000 0.000 0.240
0.000 0.000 0.760
0.333 0.667 0.427
0.333 0.667 0.907
0.667 0.333 0.093
0.667 0.333 0.573
0.000 0.000 0.000
0.333 0.667 0.667
0.667 0.333 0.333
0.000 0.000 0.500
0.333 0.667 0.167
0.667 0.333 0.833

---

GGA-PBE CaTa2Mo, optimized geometry; energy = -34.21 eV per formula unit; formation energy = 0.582 eV/atom; density = 10.3 g cm⁻³; space-group type = P4/mmm, No. 123
1.0
2.800 0.000 0.000
0.000 2.800 0.000
0.000 0.000 10.218
Ca Ta Mo
1 2 1
direct
0.000 0.000 0.000
0.500 0.500 0.280
0.500 0.500 0.720
0.000 0.000 0.500